A plane-wave DFT calculation with GGA-PBE was carried out for a relaxed structure of BaCo3.

Structure (POSCAR):
```
BaCo3
1.0
4.0657 0.0000 0.0000
0.0000 4.0657 0.0000
0.0000 0.0000 4.0657
Co Ba
3 1
Cartesian
2.0329 0.0000 2.0329
0.0000 2.0329 2.0329
2.0329 2.0329 0.0000
0.0000 0.0000 0.0000
```

E_tot = -18.774 eV/cell
Magnetic moment = 3.99 Bohr magnetons per cell

---

A plane-wave DFT calculation with GGA-PBE was carried out for a relaxed structure of BaCo3.

Structure (POSCAR):
```
BaCo3
1.0
-2.6060 4.2979 4.9445
-4.0933 -2.1339 -5.3294
-1.1210 -3.0968 2.1010
Co Ba
6 2
Cartesian
-5.9407 0.6684 -0.3687
-3.6128 1.2572 5.3732
-1.4852 -0.7708 -0.1127
-1.8797 -1.6012 2.0848
-4.2075 -2.1900 -3.6571
-6.3351 -0.1619 1.8288
-4.4383 -2.3126 -0.3290
-3.3820 1.3798 2.0451
```

E_tot = -43.277 eV/cell
Magnetic moment = 9.53 Bohr magnetons per cell